Entry 1:
# Ca4Al6SO16

A relaxed structure of Ca4Al6SO16 (GGA-PBE, Alexandria via LeMat-Bulk).

electronic total energy = -7.07 eV/atom
SG = No. 217
theoretical density = 2624 kg/m³
relative energy among the computed polymorphs = 0.79 eV/f.u.
ΔE_f (raw) = -2854 meV per atom

a = 7.9463 Å, b = 7.9463 Å, c = 7.9463 Å
α = 109.47°, β = 109.47°, γ = 109.47°
Closest atoms and distances in Å follow each position.
Atoms (fractional coordinates):
Ca 0.0000 0.6237 0.0000  3 O 2.28
Ca 0.0000 0.0000 0.6237  3 O 2.28
Ca 0.6237 0.0000 0.0000  3 O 2.28
Ca 0.3763 0.3763 0.3763  3 O 2.28
Al 0.2500 0.5000 0.7500  4 O 1.77
Al 0.7500 0.2500 0.5000  4 O 1.77
Al 0.5000 0.2500 0.7500  4 O 1.77
Al 0.7500 0.5000 0.2500  4 O 1.77
Al 0.5000 0.7500 0.2500  4 O 1.77
Al 0.2500 0.7500 0.5000  4 O 1.77
S 0.0000 0.0000 0.0000  4 O 1.49
O 0.0000 0.7171 0.4248  2 Al 1.77
O 0.7077 0.2829 0.2829  2 Al 1.77
O 0.0000 0.4248 0.7171  2 Al 1.77
O 0.5752 0.5752 0.2923  2 Al 1.77
O 0.5752 0.2923 0.5752  2 Al 1.77
O 0.4248 0.0000 0.7171  2 Al 1.77
O 0.2829 0.2829 0.7077  2 Al 1.77
O 0.7171 0.0000 0.4248  2 Al 1.77
O 0.7171 0.4248 0.0000  2 Al 1.77
O 0.2829 0.7077 0.2829  2 Al 1.77
O 0.4248 0.7171 0.0000  2 Al 1.77
O 0.8121 0.8121 0.8121  1 S 1.49
O 0.1879 0.0000 0.0000  1 S 1.49
O 0.0000 0.1879 0.0000  1 S 1.49
O 0.0000 0.0000 0.1879  1 S 1.49
O 0.2923 0.5752 0.5752  2 Al 1.77

---

Entry 2:
# Ca4Al6SO16

A relaxed structure of Ca4Al6SO16 (GGA-PBE, Alexandria via LeMat-Bulk).

electronic total energy = -7.10 eV/atom
SG = No. 27
theoretical density = 2521 kg/m³
relative energy among the computed polymorphs = 0.00 eV/f.u.
ΔE_f (raw) = -2883 meV per atom

a = 9.2524 Å, b = 13.1055 Å, c = 13.2596 Å
α = 90.00°, β = 90.00°, γ = 90.00°
Closest atoms and distances in Å follow each position.
Atoms (fractional coordinates):
Ca 0.6499 0.9418 0.2496  4 O 2.27-2.44
Ca 0.6499 0.0582 0.7504  4 O 2.27-2.44
Ca 0.1499 0.9418 0.7504  4 O 2.27-2.44
Ca 0.1499 0.0582 0.2496  4 O 2.27-2.44
Ca 0.7899 0.7465 0.9372  5 O 2.32-2.60
Ca 0.7899 0.2535 0.0628  5 O 2.32-2.60
Ca 0.2899 0.7465 0.0628  5 O 2.32-2.60
Ca 0.2899 0.2535 0.9372  5 O 2.32-2.60
Ca 0.7457 0.7426 0.5281  4 O 2.31-2.35
Ca 0.7457 0.2574 0.4719  4 O 2.31-2.35
Ca 0.2457 0.7426 0.4719  4 O 2.31-2.35
Ca 0.2457 0.2574 0.5281  4 O 2.31-2.35
Ca 0.7208 0.5074 0.2534  5 O 2.30-2.50
Ca 0.7208 0.4926 0.7466  5 O 2.30-2.50
Ca 0.2208 0.5074 0.7466  5 O 2.30-2.50
Ca 0.2208 0.4926 0.2534  5 O 2.30-2.50
Al 0.7304 0.5000 0.5000  4 O 1.75-1.76
Al 0.2304 0.5000 0.5000  4 O 1.75-1.76
Al 0.7439 0.5000 0.0000  4 O 1.75-1.77
Al 0.2439 0.5000 0.0000  4 O 1.75-1.77
Al 0.7207 0.0000 0.0000  4 O 1.78
Al 0.2207 0.0000 0.0000  4 O 1.78
Al 0.6992 0.0000 0.5000  4 O 1.77-1.78
Al 0.1992 0.0000 0.5000  4 O 1.77-1.78
Al 0.4904 0.3719 0.1219  4 O 1.75-1.77
Al 0.4904 0.6281 0.8781  4 O 1.75-1.77
Al 0.9904 0.3719 0.8781  4 O 1.75-1.77
Al 0.9904 0.6281 0.1219  4 O 1.75-1.77
Al 0.4525 0.8804 0.6292  4 O 1.76-1.78
Al 0.4525 0.1196 0.3708  4 O 1.76-1.78
Al 0.9525 0.8804 0.3708  4 O 1.76-1.78
Al 0.9525 0.1196 0.6292  4 O 1.76-1.78
Al 0.4786 0.6300 0.6303  4 O 1.75-1.77
Al 0.4786 0.3700 0.3697  4 O 1.75-1.77
Al 0.9786 0.6300 0.3697  4 O 1.75-1.77
Al 0.9786 0.3700 0.6303  4 O 1.75-1.77
Al 0.4695 0.8781 0.8775  4 O 1.77-1.79
Al 0.4695 0.1219 0.1225  4 O 1.77-1.79
Al 0.9695 0.8781 0.1225  4 O 1.77-1.79
Al 0.9695 0.1219 0.8775  4 O 1.77-1.79
S 0.4718 0.7223 0.2618  4 O 1.47-1.51
S 0.4718 0.2777 0.7382  4 O 1.47-1.51
S 0.9718 0.7223 0.7382  4 O 1.47-1.51
S 0.9718 0.2777 0.2618  4 O 1.47-1.51
O 0.1089 0.3348 0.2613  1 S 1.47
O 0.1089 0.6652 0.7387  1 S 1.47
O 0.6089 0.3348 0.7387  1 S 1.47
O 0.6089 0.6652 0.2613  1 S 1.47
O 0.9825 0.1886 0.1901  1 S 1.51
O 0.9825 0.8114 0.8099  1 S 1.51
O 0.4825 0.1886 0.8099  1 S 1.51
O 0.4825 0.8114 0.1901  1 S 1.51
O 0.9427 0.2385 0.3650  1 S 1.49
O 0.9427 0.7615 0.6350  1 S 1.49
O 0.4427 0.2385 0.6350  1 S 1.49
O 0.4427 0.7615 0.3650  1 S 1.49
O 0.8487 0.3418 0.2250  1 S 1.50
O 0.8487 0.6582 0.7750  1 S 1.50
O 0.3487 0.3418 0.7750  1 S 1.50
O 0.3487 0.6582 0.2250  1 S 1.50
O 0.9446 0.5905 0.2457  2 Al 1.75-1.77
O 0.9446 0.4095 0.7543  2 Al 1.75-1.77
O 0.4446 0.5905 0.7543  2 Al 1.75-1.77
O 0.4446 0.4095 0.2457  2 Al 1.75-1.77
O 0.6403 0.4319 0.4049  2 Al 1.76-1.77
O 0.6403 0.5681 0.5951  2 Al 1.76-1.77
O 0.1403 0.4319 0.5951  2 Al 1.76-1.77
O 0.1403 0.5681 0.4049  2 Al 1.76-1.77
O 0.6439 0.4480 0.0996  2 Al 1.75-1.76
O 0.6439 0.5520 0.9004  2 Al 1.75-1.76
O 0.1439 0.4480 0.9004  2 Al 1.75-1.76
O 0.1439 0.5520 0.0996  2 Al 1.75-1.76
O 0.0191 0.2425 0.6038  2 Al 1.75-1.76
O 0.0191 0.7575 0.3962  2 Al 1.75-1.76
O 0.5191 0.2425 0.3962  2 Al 1.75-1.76
O 0.5191 0.7575 0.6038  2 Al 1.75-1.76
O 0.3238 0.4021 0.4383  2 Al 1.75
O 0.3238 0.5979 0.5617  2 Al 1.75
O 0.8238 0.4021 0.5617  2 Al 1.75
O 0.8238 0.5979 0.4383  2 Al 1.75
O 0.2969 0.1051 0.4485  2 Al 1.78
O 0.2969 0.8949 0.5515  2 Al 1.78
O 0.7969 0.1051 0.5515  2 Al 1.78
O 0.7969 0.8949 0.4485  2 Al 1.78
O 0.0461 0.2444 0.8966  2 Al 1.77
O 0.0461 0.7556 0.1034  2 Al 1.77
O 0.5461 0.2444 0.1034  2 Al 1.77
O 0.5461 0.7556 0.8966  2 Al 1.77
O 0.3248 0.1085 0.0354  2 Al 1.78
O 0.3248 0.8915 0.9646  2 Al 1.78
O 0.8248 0.1085 0.9646  2 Al 1.78
O 0.8248 0.8915 0.0354  2 Al 1.78
O 0.3432 0.3928 0.0414  2 Al 1.75-1.77
O 0.3432 0.6072 0.9586  2 Al 1.75-1.77
O 0.8432 0.3928 0.9586  2 Al 1.75-1.77
O 0.8432 0.6072 0.0414  2 Al 1.75-1.77
O 0.8950 0.9029 0.2445  2 Al 1.78-1.79
O 0.8950 0.0971 0.7555  2 Al 1.78-1.79
O 0.3950 0.9029 0.7555  2 Al 1.78-1.79
O 0.3950 0.0971 0.2445  2 Al 1.78-1.79
O 0.6167 0.0359 0.1074  2 Al 1.78
O 0.6167 0.9641 0.8926  2 Al 1.78
O 0.1167 0.0359 0.8926  2 Al 1.78
O 0.1167 0.9641 0.1074  2 Al 1.78
O 0.5985 0.0366 0.3924  2 Al 1.76-1.77
O 0.5985 0.9634 0.6076  2 Al 1.76-1.77
O 0.0985 0.0366 0.6076  2 Al 1.76-1.77
O 0.0985 0.9634 0.3924  2 Al 1.76-1.77

---

Entry 3:
# Ca2AlSbO5

A relaxed structure of Ca2AlSbO5 (GGA-PBE, Alexandria via LeMat-Bulk).

electronic total energy = -6.51 eV/atom
SG = No. 9
theoretical density = 4058 kg/m³
ΔE_f (raw) = -2433 meV per atom

a = 8.5119 Å, b = 8.5119 Å, c = 5.5708 Å
α = 75.09°, β = 75.09°, γ = 40.64°
Closest atoms and distances in Å follow each position.
Atoms (fractional coordinates):
Sb 0.4899 0.0187 0.4644  4 O 2.07-2.23
Sb 0.0187 0.4899 0.9644  4 O 2.07-2.23
Ca 0.6448 0.1026 0.8296  4 O 2.26-2.44
Ca 0.8989 0.3372 0.6042  3 O 2.23-2.42
Ca 0.3372 0.8989 0.1042  3 O 2.23-2.42
Ca 0.1026 0.6448 0.3296  4 O 2.26-2.44
Al 0.3060 0.6742 0.7387  4 O 1.74-1.86
Al 0.6742 0.3060 0.2387  4 O 1.74-1.86
O 0.4309 0.5724 0.4233  2 Al 1.84-1.86
O 0.5724 0.4309 0.9233  2 Al 1.84-1.86
O 0.7210 0.0538 0.3564  1 Al 1.82
O 0.1894 0.9438 0.7840  1 Al 1.74
O 0.0538 0.7210 0.8564  1 Al 1.82
O 0.9438 0.1894 0.2840  1 Al 1.74
O 0.6413 0.8372 0.8094  2 Sb 2.11-2.35, 1 Ca 2.31
O 0.2880 0.3279 0.6279  2 Sb 2.07-2.23, 1 Ca 2.26
O 0.3279 0.2880 0.1279  2 Sb 2.07-2.23, 1 Ca 2.26
O 0.8372 0.6413 0.3094  2 Sb 2.11-2.35, 1 Ca 2.31

---

Entry 4:
# CaAlSbO5

A relaxed structure of CaAlSbO5 (GGA-PBE, Alexandria via LeMat-Bulk).

electronic total energy = -6.76 eV/atom
SG = No. 15
theoretical density = 4336 kg/m³
ΔE_f (raw) = -2425 meV per atom

a = 5.6663 Å, b = 5.6663 Å, c = 7.3679 Å
α = 104.73°, β = 104.73°, γ = 106.13°
Closest atoms and distances in Å follow each position.
Atoms (fractional coordinates):
Ca 0.3349 0.6651 0.2500  5 O 2.30-2.47
Ca 0.6651 0.3349 0.7500  5 O 2.30-2.47
Al 0.6856 0.3144 0.2500  4 O 1.78
Al 0.3144 0.6856 0.7500  4 O 1.78
Sb 0.0000 0.0000 0.5000  6 O 1.98-2.02
Sb 0.0000 0.0000 0.0000  6 O 1.98-2.02
O 0.0813 0.9187 0.2500  2 Sb 1.98
O 0.9187 0.0813 0.7500  2 Sb 1.98
O 0.9009 0.3075 0.1114  1 Al 1.78
O 0.0991 0.6925 0.8886  1 Al 1.78
O 0.6925 0.0991 0.3886  1 Al 1.78
O 0.3075 0.9009 0.6114  1 Al 1.78
O 0.7472 0.6335 0.4118  1 Al 1.78
O 0.2528 0.3665 0.5882  1 Al 1.78
O 0.3665 0.2528 0.0882  1 Al 1.78
O 0.6335 0.7472 0.9118  1 Al 1.78

---

Entry 5:
# Ca2AlSbO6

A relaxed structure of Ca2AlSbO6 (GGA-PBE, Alexandria via LeMat-Bulk).

electronic total energy = -6.70 eV/atom
SG = No. 14
theoretical density = 4735 kg/m³
ΔE_f (raw) = -2538 meV per atom

a = 5.4083 Å, b = 5.4833 Å, c = 7.6850 Å
α = 90.00°, β = 89.85°, γ = 90.00°
Closest atoms and distances in Å follow each position.
Atoms (fractional coordinates):
Ca 0.0095 0.9587 0.2507  6 O 2.35-2.60
Ca 0.5095 0.5413 0.7507  6 O 2.35-2.60
Ca 0.9905 0.0413 0.7493  6 O 2.35-2.60
Ca 0.4905 0.4587 0.2493  6 O 2.35-2.60
Al 0.5000 0.0000 0.0000  6 O 1.94-1.95
Al 0.0000 0.5000 0.5000  6 O 1.94-1.95
Sb 0.5000 0.0000 0.5000  6 O 2.01
Sb 0.0000 0.5000 0.0000  6 O 2.01
O 0.2958 0.7141 0.0414  1 Al 1.94, 1 Sb 2.01
O 0.7958 0.7859 0.5414  1 Al 1.94, 1 Sb 2.01
O 0.7042 0.2859 0.9586  1 Al 1.94, 1 Sb 2.01
O 0.2042 0.2141 0.4586  1 Al 1.94, 1 Sb 2.01
O 0.2871 0.7060 0.4588  1 Al 1.95, 1 Sb 2.01
O 0.7871 0.7940 0.9588  1 Al 1.95, 1 Sb 2.01
O 0.7129 0.2940 0.5412  1 Al 1.95, 1 Sb 2.01
O 0.2129 0.2060 0.0412  1 Al 1.95, 1 Sb 2.01
O 0.9210 0.5209 0.2547  1 Al 1.94, 1 Sb 2.01
O 0.4210 0.9791 0.7547  1 Al 1.94, 1 Sb 2.01
O 0.0790 0.4791 0.7453  1 Al 1.94, 1 Sb 2.01
O 0.5790 0.0209 0.2453  1 Al 1.94, 1 Sb 2.01

---

Entry 6:
# Ca2ScAlO

A relaxed structure of Ca2ScAlO (GGA-PBE, Alexandria via LeMat-Bulk).

electronic total energy = -4.64 eV/atom
SG = No. 123
theoretical density = 2572 kg/m³
relative energy among the computed polymorphs = 2.23 eV/f.u.
ΔE_f (raw) = -830 meV per atom

a = 4.6885 Å, b = 4.9378 Å, c = 4.6885 Å
α = 90.00°, β = 90.00°, γ = 90.00°
Closest atoms and distances in Å follow each position.
Atoms (fractional coordinates):
Sc 0.5000 0.5000 0.5000  4 Al 3.32, 8 Ca 3.40
Ca 0.0000 0.0000 0.5000  2 O 2.34
Ca 0.5000 0.0000 0.0000  2 O 2.34
Al 0.0000 0.5000 0.0000  2 O 2.47
O 0.0000 0.0000 0.0000  4 Ca 2.34, 2 Al 2.47

---

Entry 7:
# CaScAlO4

A relaxed structure of CaScAlO4 (GGA-PBE, Alexandria via LeMat-Bulk).

electronic total energy = -7.62 eV/atom
SG = No. 11
theoretical density = 3178 kg/m³
ΔE_f (raw) = -3066 meV per atom

a = 5.4346 Å, b = 5.6014 Å, c = 6.3627 Å
α = 90.00°, β = 108.25°, γ = 90.00°
Closest atoms and distances in Å follow each position.
Atoms (fractional coordinates):
Ca 0.7275 0.7500 0.9464  2 O 2.20-2.21
Ca 0.2725 0.2500 0.0536  2 O 2.20-2.21
Sc 0.8180 0.7500 0.4718  6 O 2.09-2.30
Sc 0.1820 0.2500 0.5282  6 O 2.09-2.30
Al 0.2767 0.7500 0.3294  4 O 1.74-1.80
Al 0.7233 0.2500 0.6706  4 O 1.74-1.80
O 0.9632 0.4810 0.7112  1 Al 1.80
O 0.0368 0.9810 0.2888  1 Al 1.80
O 0.0368 0.5190 0.2888  1 Al 1.80
O 0.9632 0.0190 0.7112  1 Al 1.80
O 0.4859 0.7500 0.1693  1 Al 1.75
O 0.5141 0.2500 0.8307  1 Al 1.75
O 0.5024 0.7500 0.5929  1 Al 1.74
O 0.4976 0.2500 0.4071  1 Al 1.74

---

Entry 8:
# CaSc2AlO

A relaxed structure of CaSc2AlO (GGA-PBE, Alexandria via LeMat-Bulk).

electronic total energy = -6.01 eV/atom
SG = No. 123
theoretical density = 3089 kg/m³
ΔE_f (raw) = -1334 meV per atom

a = 4.4576 Å, b = 4.4576 Å, c = 4.6789 Å
α = 90.00°, β = 90.00°, γ = 90.00°
Closest atoms and distances in Å follow each position.
Atoms (fractional coordinates):
Sc 0.0000 0.5000 0.0000  2 O 2.23
Sc 0.5000 0.0000 0.0000  2 O 2.23
Ca 0.0000 0.0000 0.5000  2 O 2.34
Al 0.5000 0.5000 0.5000  4 Ca 3.15, 8 Sc 3.23
O 0.0000 0.0000 0.0000  4 Sc 2.23, 2 Ca 2.34

---

Entry 9:
# Ca2ScAlO

A relaxed structure of Ca2ScAlO (GGA-PBE, Alexandria via LeMat-Bulk).

electronic total energy = -5.08 eV/atom
SG = No. 123
theoretical density = 2713 kg/m³
relative energy among the computed polymorphs = 0.00 eV/f.u.
ΔE_f (raw) = -1275 meV per atom

a = 4.7919 Å, b = 4.7919 Å, c = 4.4802 Å
α = 90.00°, β = 90.00°, γ = 90.00°
Closest atoms and distances in Å follow each position.
Atoms (fractional coordinates):
Sc 0.0000 0.0000 0.5000  2 O 2.24
Ca 0.0000 0.5000 0.0000  2 O 2.40
Ca 0.5000 0.0000 0.0000  2 O 2.40
Al 0.5000 0.5000 0.5000  8 Ca 3.28, 4 Sc 3.39
O 0.0000 0.0000 0.0000  2 Sc 2.24, 4 Ca 2.40

---

Entry 10:
# CaAlSeO2

A relaxed structure of CaAlSeO2 (GGA-PBE, Alexandria via LeMat-Bulk).

electronic total energy = -3.83 eV/atom
SG = No. 123
theoretical density = 3095 kg/m³
ΔE_f (raw) = 2 meV per atom

a = 4.2182 Å, b = 5.3673 Å, c = 4.2182 Å
α = 90.00°, β = 90.00°, γ = 90.00°
Closest atoms and distances in Å follow each position.
Atoms (fractional coordinates):
O 0.0000 0.0000 0.5000  2 Se 2.11
O 0.5000 0.0000 0.0000  2 Se 2.11
Ca 0.0000 0.5000 0.0000  2 Se 2.68, 4 Al 2.98
Al 0.5000 0.5000 0.5000  4 Ca 2.98
Se 0.0000 0.0000 0.0000  4 O 2.11

---

Entry 11:
# CaAl2SiO6

A relaxed structure of CaAl2SiO6 (GGA-PBE, Alexandria via LeMat-Bulk).

electronic total energy = -7.46 eV/atom
SG = No. 15
theoretical density = 2573 kg/m³
relative energy among the computed polymorphs = 0.14 eV/f.u.
ΔE_f (raw) = -2996 meV per atom

a = 5.8380 Å, b = 7.6479 Å, c = 7.6479 Å
α = 86.35°, β = 65.73°, γ = 65.73°
Closest atoms and distances in Å follow each position.
Atoms (fractional coordinates):
Ca 0.2500 0.7057 0.2943  6 O 2.31-2.53
Ca 0.7500 0.2943 0.7057  6 O 2.31-2.53
Al 0.3073 0.8072 0.6651  4 O 1.76-1.78
Al 0.1927 0.3349 0.1928  4 O 1.76-1.78
Al 0.6927 0.1928 0.3349  4 O 1.76-1.78
Al 0.8073 0.6651 0.8072  4 O 1.76-1.78
Si 0.2500 0.2138 0.7862  4 O 1.63-1.64
Si 0.7500 0.7862 0.2138  4 O 1.63-1.64
O 0.1404 0.0503 0.7777  1 Si 1.64, 1 Al 1.78
O 0.3596 0.2223 0.9497  1 Si 1.64, 1 Al 1.78
O 0.8596 0.9497 0.2223  1 Si 1.64, 1 Al 1.78
O 0.6404 0.7777 0.0503  1 Si 1.64, 1 Al 1.78
O 0.4811 0.8118 0.4135  1 Si 1.63, 1 Al 1.77
O 0.0189 0.5865 0.1882  1 Si 1.63, 1 Al 1.77
O 0.5189 0.1882 0.5865  1 Si 1.63, 1 Al 1.77
O 0.9811 0.4135 0.8118  1 Si 1.63, 1 Al 1.77
O 0.0538 0.7447 0.6503  2 Al 1.76-1.78
O 0.4462 0.3497 0.2553  2 Al 1.76-1.78
O 0.9462 0.2553 0.3497  2 Al 1.76-1.78
O 0.5538 0.6503 0.7447  2 Al 1.76-1.78

---

Entry 12:
# CaAl2SiO6

A relaxed structure of CaAl2SiO6 (GGA-PBE, Alexandria via LeMat-Bulk).

electronic total energy = -7.44 eV/atom
SG = No. 9
theoretical density = 3330 kg/m³
relative energy among the computed polymorphs = 0.34 eV/f.u.
ΔE_f (raw) = -2976 meV per atom

a = 6.5405 Å, b = 6.5405 Å, c = 5.3252 Å
α = 78.09°, β = 78.09°, γ = 83.59°
Closest atoms and distances in Å follow each position.
Atoms (fractional coordinates):
Ca 0.6965 0.3231 0.2401  7 O 2.37-2.55
Ca 0.3231 0.6965 0.7401  7 O 2.37-2.55
Al 0.6131 0.8093 0.2080  4 O 1.75-1.80
Al 0.8093 0.6131 0.7080  4 O 1.75-1.80
Al 0.0896 0.9093 0.2618  5 O 1.85-2.04
Al 0.9093 0.0896 0.7618  5 O 1.85-2.04
Si 0.1892 0.3813 0.2835  4 O 1.61-1.68
Si 0.3813 0.1892 0.7835  4 O 1.61-1.68
O 0.8283 0.9750 0.1235  3 Al 1.80-1.97
O 0.3584 0.9113 0.3198  2 Al 1.76-1.85
O 0.6100 0.6600 0.9725  2 Al 1.75-1.76
O 0.0207 0.2001 0.3750  1 Si 1.64
O 0.1101 0.6245 0.2045  1 Si 1.61
O 0.3352 0.3550 0.5113  2 Si 1.66-1.68
O 0.2001 0.0207 0.8750  1 Si 1.64
O 0.6245 0.1101 0.7045  1 Si 1.61
O 0.3550 0.3352 0.0113  2 Si 1.66-1.68
O 0.9750 0.8283 0.6235  3 Al 1.80-1.97
O 0.9113 0.3584 0.8198  2 Al 1.76-1.85
O 0.6600 0.6100 0.4725  2 Al 1.75-1.76